(1)
A relaxed structure of Zn3Fe. Source: the Open Quantum Materials Database, functional PBE.

Formation enthalpy at 0 K, meV/atom: 105
Total DFT energy (no corrections), eV per atom: -2.921
Crystal system: cubic

Cell: 6.0010 6.0010 6.0010 Å, 90.00 90.00 90.00°
Sites, in units of the cell vectors:
Zn (0.0000, 0.0000, 0.0000)
Zn (0.0000, 0.5000, 0.5000)
Zn (0.2500, 0.2500, 0.2500)
Zn (0.2500, 0.2500, 0.7500)
Zn (0.2500, 0.7500, 0.2500)
Zn (0.2500, 0.7500, 0.7500)
Zn (0.5000, 0.0000, 0.5000)
Zn (0.5000, 0.5000, 0.0000)
Zn (0.7500, 0.2500, 0.2500)
Zn (0.7500, 0.2500, 0.7500)
Zn (0.7500, 0.7500, 0.2500)
Zn (0.7500, 0.7500, 0.7500)
Fe (0.0000, 0.0000, 0.5000)
Fe (0.0000, 0.5000, 0.0000)
Fe (0.5000, 0.0000, 0.0000)
Fe (0.5000, 0.5000, 0.5000)

(2)
A relaxed structure of LuGaW. Source: the Open Quantum Materials Database, functional PBE.

Total DFT energy (no corrections), eV per atom: -5.570
Crystal system: cubic
E above lowest polymorph, meV/atom: 454

Cell: 6.6063 6.6063 6.6063 Å, 90.00 90.00 90.00°
Sites, in units of the cell vectors:
Lu (0.0000, 0.0000, 0.0000)
Lu (0.0000, 0.5000, 0.5000)
Lu (0.5000, 0.0000, 0.5000)
Lu (0.5000, 0.5000, 0.0000)
Ga (0.2500, 0.2500, 0.7500)
Ga (0.2500, 0.7500, 0.2500)
Ga (0.7500, 0.2500, 0.2500)
Ga (0.7500, 0.7500, 0.7500)
W (0.2500, 0.2500, 0.2500)
W (0.2500, 0.7500, 0.7500)
W (0.7500, 0.2500, 0.7500)
W (0.7500, 0.7500, 0.2500)

(3)
A relaxed structure of YHo3Er2Sb2Os. Source: the Open Quantum Materials Database, functional PBE.

Total DFT energy (no corrections), eV per atom: -6.091
Crystal system: orthorhombic

Cell: 4.1953 8.1413 8.1413 Å, 119.80 90.00 90.00°
Sites, in units of the cell vectors:
Y (0.0000, 0.0000, 0.0000)
Ho (0.5000, 0.1587, 0.3958)
Ho (0.5000, 0.3958, 0.1587)
Ho (0.5000, 0.6327, 0.6327)
Er (0.0000, 0.3952, 0.7880)
Er (0.0000, 0.7880, 0.3952)
Sb (0.5000, 0.0620, 0.7281)
Sb (0.5000, 0.7281, 0.0620)
Os (0.0000, 0.3983, 0.3983)

(4)
A relaxed structure of ErMgNO. Source: the Open Quantum Materials Database, functional PBE.

Total DFT energy (no corrections), eV per atom: -6.858
Crystal system: orthorhombic
E above lowest polymorph, meV/atom: 126

Cell: 3.5392 6.0349 5.5697 Å, 90.00 90.00 90.00°
Sites, in units of the cell vectors:
Er (0.0000, 0.1776, 0.0000)
Er (0.0000, 0.8224, 0.5000)
Mg (0.5000, 0.3456, 0.5016)
Mg (0.5000, 0.6544, 0.0016)
N (0.5000, 0.3391, 0.8669)
N (0.5000, 0.6609, 0.3669)
O (0.0000, 0.1752, 0.3963)
O (0.0000, 0.8248, 0.8963)

(5)
A relaxed structure of TaInI6. Source: the Open Quantum Materials Database, functional PBE.

Total DFT energy (no corrections), eV per atom: -3.417
Crystal system: monoclinic

Cell: 7.7773 7.7773 14.0885 Å, 105.29 105.29 59.75°
Sites, in units of the cell vectors:
Ta (0.0000, 0.5000, 0.0000)
Ta (0.5000, 0.0000, 0.5000)
In (0.0614, 0.9386, 0.2500)
In (0.9386, 0.0614, 0.7500)
I (0.0945, 0.2010, 0.5115)
I (0.1310, 0.4096, 0.8195)
I (0.2010, 0.0945, 0.0115)
I (0.3428, 0.5357, 0.1007)
I (0.4096, 0.1310, 0.3195)
I (0.4643, 0.6572, 0.3993)
I (0.5357, 0.3428, 0.6007)
I (0.5904, 0.8690, 0.6805)
I (0.6572, 0.4643, 0.8993)
I (0.7990, 0.9055, 0.9885)
I (0.8690, 0.5904, 0.1805)
I (0.9055, 0.7990, 0.4885)

(6)
A relaxed structure of SmPaFe. Source: the Open Quantum Materials Database, functional PBE.

Formation enthalpy at 0 K, meV/atom: 335
Total DFT energy (no corrections), eV per atom: -7.170
Crystal system: cubic
E above lowest polymorph, meV/atom: 0

Cell: 6.5659 6.5659 6.5659 Å, 90.00 90.00 90.00°
Sites, in units of the cell vectors:
Sm (0.0000, 0.0000, 0.0000)
Sm (0.0000, 0.5000, 0.5000)
Sm (0.5000, 0.0000, 0.5000)
Sm (0.5000, 0.5000, 0.0000)
Pa (0.0000, 0.0000, 0.5000)
Pa (0.0000, 0.5000, 0.0000)
Pa (0.5000, 0.0000, 0.0000)
Pa (0.5000, 0.5000, 0.5000)
Fe (0.2500, 0.2500, 0.7500)
Fe (0.2500, 0.7500, 0.2500)
Fe (0.7500, 0.2500, 0.2500)
Fe (0.7500, 0.7500, 0.7500)